(1)
The following is a DFT calculation (GGA-PBE) of a geometry-optimized Zn2GaCuSe4 structure.

Calculated values
* E above lowest polymorph: 0.000 eV per atom
* E_form (uncorrected): -0.594 eV/atom
* E: -3.545 eV/atom
* calculated volume: 23.134 A^3/atom
* spin magnetization: 0.000 Bohr magnetons per cell

Cell and atoms, written as CIF:
```
data_Zn2GaCuSe4
_space_group_name_H-M_alt 'I -4 2 m'
_space_group_IT_number 121
_space_group_name_Hall 'I -4 2'
_cell_length_a 5.710
_cell_length_b 5.710
_cell_length_c 11.351
_cell_angle_alpha 90.00
_cell_angle_beta 90.00
_cell_angle_gamma 90.00
loop_
_atom_site_label
_atom_site_fract_x
_atom_site_fract_y
_atom_site_fract_z
_atom_site_occupancy
Zn1 0.000 0.500 0.250 1
Ga1 0.000 0.000 0.000 1
Cu1 0.000 0.000 0.500 1
Se1 0.248 0.248 0.378 1
```


(2)
The following is a DFT calculation (GGA-PBE) of a geometry-optimized Zn2GaCuSe4 structure.

Calculated values
* E above lowest polymorph: 0.084 eV per atom
* E_form (uncorrected): -0.510 eV/atom
* E: -3.461 eV/atom
* calculated volume: 23.567 A^3/atom
* spin magnetization: 0.000 Bohr magnetons per cell

Cell and atoms, written as CIF:
```
data_Zn2GaCuSe4
_space_group_name_H-M_alt 'R 3 m'
_space_group_IT_number 160
_space_group_name_Hall 'R 3 -2"'
_cell_length_a 4.0571
_cell_length_b 4.0571
_cell_length_c 39.6775
_cell_angle_alpha 90.00
_cell_angle_beta 90.00
_cell_angle_gamma 120.00
loop_
_atom_site_label
_atom_site_fract_x
_atom_site_fract_y
_atom_site_fract_z
_atom_site_occupancy
Zn1 0.0000 0.0000 0.0000 1
Zn2 0.0000 0.0000 0.2495 1
Ga1 0.0000 0.0000 0.4967 1
Cu1 0.0000 0.0000 0.7396 1
Se1 0.0000 0.0000 0.0612 1
Se2 0.0000 0.0000 0.3103 1
Se3 0.0000 0.0000 0.5597 1
Se4 0.0000 0.0000 0.8052 1
```


(3)
The following is a DFT calculation (GGA-PBE) of a geometry-optimized Ga2CuSi structure.

Calculated values
* E_form (uncorrected): 0.319 eV/atom
* E: -3.574 eV/atom
* calculated volume: 16.646 A^3/atom
* spin magnetization: 0.000 Bohr magnetons per cell

Cell and atoms, written as CIF:
```
data_Ga2CuSi
_space_group_name_H-M_alt 'R -3 m'
_space_group_IT_number 166
_space_group_name_Hall '-R 3 2"'
_cell_length_a 2.6906
_cell_length_b 2.6906
_cell_length_c 31.8621
_cell_angle_alpha 90.00
_cell_angle_beta 90.00
_cell_angle_gamma 120.00
loop_
_atom_site_label
_atom_site_fract_x
_atom_site_fract_y
_atom_site_fract_z
_atom_site_occupancy
Ga1 0.0000 0.0000 0.0805 1
Cu1 0.0000 0.0000 0.0000 1
Si1 0.0000 0.0000 0.5000 1
```


Look up the E_form (uncorrected) of the first one. -0.594 eV/atom